# 1
{
  "formula": "CsBaAg2",
  "functional": "GGA-PBE",
  "state": "relaxed",
  "polymorph_energy_mev_per_atom": 0,
  "spacegroup": "P4/mmm, No. 123",
  "volume_a3_per_fu": 167,
  "e_form_ev_per_atom": -0.099,
  "total_magnetization_mub_per_atom": 0.0000,
  "total_energy_ev_per_atom": -2.22,
  "lattice_angstrom": [[4.429, 0.000, 0.000], [0.000, 4.429, 0.000], [0.000, 0.000, 8.521]],
  "species": ["Cs", "Ba", "Ag", "Ag"],
  "fractional_positions": [[0.000, 0.000, 0.000], [0.000, 0.000, 0.500], [0.500, 0.500, 0.322], [0.500, 0.500, 0.678]]
}

# 2
{
  "formula": "Ac6Pr2Dy3",
  "functional": "GGA-PBE",
  "state": "relaxed",
  "spacegroup": "C2/m, No. 12",
  "volume_a3_per_fu": 455,
  "e_form_ev_per_atom": 0.183,
  "total_magnetization_mub_per_atom": 0.0000,
  "total_energy_ev_per_atom": -4.18,
  "lattice_angstrom": [[3.318, -5.731, 0.000], [3.318, 5.731, 0.000], [-2.129, 0.000, 11.963]],
  "species": ["Ac", "Ac", "Ac", "Ac", "Ac", "Ac", "Pr", "Pr", "Dy", "Dy", "Dy"],
  "fractional_positions": [[0.087, 0.419, 0.752], [0.245, 0.245, 0.251], [0.419, 0.087, 0.752], [0.581, 0.913, 0.248], [0.755, 0.755, 0.749], [0.913, 0.581, 0.248], [0.331, 0.669, 0.500], [0.669, 0.331, 0.500], [0.166, 0.834, 0.000], [0.500, 0.500, 0.000], [0.834, 0.166, 0.000]]
}

# 3
{
  "formula": "ZrFeNi2",
  "functional": "GGA-PBE",
  "state": "relaxed",
  "spacegroup": "F-43m, No. 216",
  "volume_a3_per_fu": 55,
  "e_form_ev_per_atom": -0.090,
  "total_magnetization_mub_per_atom": 0.6185,
  "total_energy_ev_per_atom": -7.23,
  "lattice_angstrom": [[0.000, 3.016, 3.016], [3.016, 0.000, 3.016], [3.016, 3.016, 0.000]],
  "species": ["Zr", "Fe", "Ni", "Ni"],
  "fractional_positions": [[0.000, 0.000, 0.000], [0.250, 0.250, 0.250], [0.500, 0.500, 0.500], [0.750, 0.750, 0.750]]
}

# 4
{
  "formula": "LiTaMn2",
  "functional": "GGA-PBE",
  "state": "relaxed",
  "spacegroup": "P4/mmm, No. 123",
  "volume_a3_per_fu": 62,
  "e_form_ev_per_atom": 0.330,
  "total_magnetization_mub_per_atom": 1.5804,
  "total_energy_ev_per_atom": -7.70,
  "lattice_angstrom": [[2.850, 0.000, 0.000], [0.000, 2.850, 0.000], [0.000, 0.000, 7.592]],
  "species": ["Li", "Ta", "Mn", "Mn"],
  "fractional_positions": [[0.000, 0.000, 0.000], [0.000, 0.000, 0.500], [0.500, 0.500, 0.249], [0.500, 0.500, 0.751]]
}

# 5
{
  "formula": "AgMo2W",
  "functional": "GGA-PBE",
  "state": "relaxed",
  "polymorph_energy_mev_per_atom": 271,
  "spacegroup": "I-4m2, No. 119",
  "volume_a3_per_fu": 65,
  "e_form_ev_per_atom": 0.518,
  "total_magnetization_mub_per_atom": 0.0000,
  "total_energy_ev_per_atom": -8.85,
  "lattice_angstrom": [[-2.032, 2.032, 3.916], [2.032, -2.032, 3.916], [2.032, 2.032, -3.916]],
  "species": ["Ag", "Mo", "Mo", "W"],
  "fractional_positions": [[0.000, 0.000, 0.000], [0.250, 0.750, 0.500], [0.500, 0.500, 0.000], [0.750, 0.250, 0.500]]
}

# 6
{
  "formula": "Ni2SnBIr",
  "functional": "GGA-PBE",
  "state": "relaxed",
  "spacegroup": "P4/mmm, No. 123",
  "volume_a3_per_fu": 65,
  "e_form_ev_per_atom": -0.130,
  "total_magnetization_mub_per_atom": 0.0000,
  "total_energy_ev_per_atom": -6.35,
  "lattice_angstrom": [[3.981, 0.000, 0.000], [0.000, 3.981, 0.000], [0.000, 0.000, 4.125]],
  "species": ["Ni", "Ni", "Sn", "B", "Ir"],
  "fractional_positions": [[0.000, 0.500, 0.000], [0.500, 0.000, 0.000], [0.000, 0.000, 0.500], [0.500, 0.500, 0.000], [0.500, 0.500, 0.500]]
}

# 7
{
  "formula": "CsRbZn",
  "functional": "GGA-PBE",
  "state": "relaxed",
  "polymorph_energy_mev_per_atom": 66,
  "spacegroup": "Amm2, No. 38",
  "volume_a3_per_fu": 199,
  "e_form_ev_per_atom": 0.168,
  "total_magnetization_mub_per_atom": 0.0000,
  "total_energy_ev_per_atom": -0.86,
  "lattice_angstrom": [[5.894, 0.000, 0.000], [0.000, 2.458, 6.857], [0.000, -2.458, 6.857]],
  "species": ["Cs", "Rb", "Zn"],
  "fractional_positions": [[0.000, 0.000, 0.000], [0.500, 0.267, 0.267], [0.500, 0.549, 0.549]]
}

# 8
{
  "formula": "AlFeSbI2",
  "functional": "GGA-PBE",
  "state": "relaxed",
  "e_form_raw_mev_per_atom": 455,
  "polymorph_energy_mev_per_atom": 0,
  "spacegroup": "P4/mmm, No. 123",
  "volume_a3_per_fu": 156,
  "total_magnetization_mub_per_atom": 0.4380,
  "total_energy_ev_per_atom": -3.43,
  "lattice_angstrom": [[5.633, 0.000, 0.000], [0.000, 5.633, 0.000], [0.000, 0.000, 4.914]],
  "species": ["Al", "Fe", "Sb", "I", "I"],
  "fractional_positions": [[0.000, 0.000, 0.000], [0.500, 0.500, 0.500], [0.500, 0.500, 0.000], [0.000, 0.500, 0.500], [0.500, 0.000, 0.500]]
}